Entry 1:
A relaxed structure of Ac8Ni3TeBr4, computed with PBE-GGA.

Raw formation energy in eV per atom: -0.917
Calculated total energy in eV per formula unit: -74.7
Theoretical density in g/cm³: 7.33

Cell: 8.926 9.526 8.927 Å, 117.94 120.00 90.00°
Fractional coordinates of all 16 atoms:
Ac 0.249 0.708 0.959
Ac 0.249 0.708 0.498
Ac 0.269 0.307 0.539
Ac 0.710 0.708 0.959
Ac 0.290 0.292 0.041
Ac 0.731 0.693 0.461
Ac 0.751 0.292 0.502
Ac 0.751 0.292 0.041
Ni 0.500 0.500 0.000
Ni 0.500 0.500 0.500
Ni 0.000 0.500 0.500
Te 0.000 0.500 0.000
Br 0.500 0.000 0.000
Br 0.500 0.000 0.500
Br 0.000 0.000 0.000
Br 0.000 0.000 0.500


Entry 2:
A relaxed structure of Pr6MgAg, computed with PBE-GGA.

Energy of formation in eV per formula unit: -0.5
Calculated total energy in eV per formula unit: -33.6
Theoretical density in g/cm³: 6.27

Cell: 5.305 5.305 9.938 Å, 74.52 74.56 90.00°
Fractional coordinates of all 8 atoms:
Pr 0.748 0.748 0.504
Pr 0.610 0.110 0.779
Pr 0.110 0.610 0.779
Pr 0.390 0.890 0.221
Pr 0.252 0.252 0.496
Pr 0.890 0.390 0.221
Mg 0.500 0.500 0.000
Ag 0.000 0.000 0.000